# 1
LiPdN2F (PBEsol, relaxed); ΔE_f (raw) = 0.388 eV per atom
1.0
-0.466 -2.618 2.536
2.399 -2.145 -1.774
4.127 2.150 2.980
N Li Pd F
2 1 1 1
direct
0.000 0.500 0.000
0.500 0.000 0.000
0.500 0.500 0.500
0.000 0.000 0.000
0.000 0.000 0.500

=====

# 2
Na3AsH18Se4O9 (PBEsol, relaxed); calculated total energy = -4.719 eV/atom
1.0
11.949 0.000 0.000
0.000 11.949 0.000
0.000 0.000 11.949
Na As H Se O
12 4 72 16 36
direct
0.402 0.098 0.902
0.098 0.902 0.402
0.902 0.402 0.098
0.598 0.598 0.598
0.552 0.948 0.052
0.948 0.052 0.552
0.052 0.552 0.948
0.291 0.291 0.291
0.448 0.448 0.448
0.791 0.209 0.709
0.209 0.709 0.791
0.709 0.791 0.209
0.460 0.960 0.540
0.540 0.460 0.960
0.960 0.540 0.460
0.040 0.040 0.040
0.437 0.689 0.881
0.937 0.811 0.119
0.563 0.189 0.619
0.811 0.119 0.937
0.619 0.563 0.189
0.119 0.937 0.811
0.689 0.881 0.437
0.881 0.437 0.689
0.189 0.619 0.563
0.311 0.381 0.063
0.381 0.063 0.311
0.063 0.311 0.381
0.453 0.772 0.778
0.953 0.728 0.222
0.547 0.272 0.722
0.728 0.222 0.953
0.722 0.547 0.272
0.222 0.953 0.728
0.772 0.778 0.453
0.778 0.453 0.772
0.272 0.722 0.547
0.228 0.278 0.047
0.278 0.047 0.228
0.047 0.228 0.278
0.327 0.238 0.538
0.827 0.262 0.462
0.673 0.738 0.962
0.262 0.462 0.827
0.962 0.673 0.738
0.462 0.827 0.262
0.238 0.538 0.327
0.538 0.327 0.238
0.738 0.962 0.673
0.762 0.038 0.173
0.197 0.086 0.520
0.038 0.173 0.762
0.244 0.340 0.515
0.744 0.160 0.485
0.756 0.840 0.985
0.160 0.485 0.744
0.985 0.756 0.840
0.485 0.744 0.160
0.340 0.515 0.244
0.515 0.244 0.340
0.840 0.985 0.756
0.660 0.015 0.256
0.015 0.256 0.660
0.256 0.660 0.015
0.578 0.627 0.353
0.078 0.873 0.647
0.422 0.127 0.147
0.873 0.647 0.078
0.147 0.422 0.127
0.647 0.078 0.873
0.627 0.353 0.578
0.353 0.578 0.627
0.127 0.147 0.422
0.373 0.853 0.922
0.853 0.922 0.373
0.922 0.373 0.853
0.480 0.697 0.414
0.980 0.803 0.586
0.520 0.197 0.086
0.803 0.586 0.980
0.086 0.520 0.197
0.586 0.980 0.803
0.697 0.414 0.480
0.414 0.480 0.697
0.020 0.303 0.914
0.914 0.020 0.303
0.303 0.914 0.020
0.173 0.762 0.038
0.653 0.577 0.851
0.577 0.851 0.653
0.847 0.423 0.351
0.423 0.351 0.847
0.347 0.077 0.649
0.153 0.923 0.149
0.923 0.149 0.153
0.149 0.153 0.923
0.073 0.427 0.573
0.427 0.573 0.073
0.573 0.073 0.427
0.927 0.927 0.927
0.649 0.347 0.077
0.851 0.653 0.577
0.351 0.847 0.423
0.077 0.649 0.347
0.398 0.746 0.835
0.898 0.754 0.165
0.602 0.246 0.665
0.754 0.165 0.898
0.665 0.602 0.246
0.165 0.898 0.754
0.746 0.835 0.398
0.835 0.398 0.746
0.246 0.665 0.602
0.254 0.335 0.102
0.335 0.102 0.254
0.102 0.254 0.335
0.314 0.304 0.489
0.814 0.196 0.511
0.686 0.804 0.011
0.196 0.511 0.814
0.011 0.686 0.804
0.511 0.814 0.196
0.304 0.489 0.314
0.489 0.314 0.304
0.804 0.011 0.686
0.696 0.989 0.186
0.989 0.186 0.696
0.186 0.696 0.989
0.527 0.629 0.420
0.027 0.871 0.580
0.473 0.129 0.080
0.871 0.580 0.027
0.080 0.473 0.129
0.580 0.027 0.871
0.629 0.420 0.527
0.420 0.527 0.629
0.129 0.080 0.473
0.371 0.920 0.973
0.920 0.973 0.371
0.973 0.371 0.920

=====

# 3
Ta3RhS6 (PBEsol, relaxed); ΔE_f (raw) = -1.088 eV per atom
1.0
5.693 0.000 0.000
-2.847 4.930 0.000
0.000 0.000 11.887
Ta Rh S
6 2 12
direct
0.000 0.000 0.000
0.000 0.000 0.500
0.333 0.667 0.502
0.667 0.333 0.498
0.667 0.333 0.002
0.333 0.667 0.998
0.333 0.667 0.250
0.667 0.333 0.750
0.673 0.667 0.132
0.995 0.327 0.132
0.333 0.005 0.132
0.667 0.673 0.868
0.327 0.995 0.868
0.005 0.333 0.868
0.327 0.333 0.632
0.005 0.673 0.632
0.667 0.995 0.632
0.333 0.327 0.368
0.673 0.005 0.368
0.995 0.667 0.368

=====

# 4
Cr2TeCl (PBEsol, relaxed); relative energy among the computed polymorphs = 0.005 eV per atom; ΔE_f (raw) = 0.340 eV per atom
1.0
3.689 0.092 0.000
-1.666 3.293 0.000
0.000 0.000 7.210
Cr Te Cl
2 1 1
direct
0.000 0.000 0.242
0.000 0.000 0.758
0.500 0.500 0.500
0.500 0.500 0.000

=====

# 5
ZrTcSe2 (PBEsol, relaxed); relative energy among the computed polymorphs = 0.000 eV per atom; ΔE_f (raw) = -0.605 eV per atom
1.0
-1.121 -1.884 -2.354
4.177 -0.560 -1.542
0.493 -3.593 2.642
Se Tc Zr
2 1 1
direct
0.000 0.000 0.500
0.000 0.500 0.000
0.500 0.500 0.500
0.500 0.000 0.000

=====

# 6
Tl2PdRuRh (PBEsol, relaxed); calculated formation energy = 31.81 kcal/mol of atoms
1.0
4.752 0.000 0.000
0.000 4.993 0.000
0.000 0.000 4.993
Ru Tl Rh Pd
1 2 1 1
direct
0.500 0.500 0.500
0.000 0.000 0.500
0.000 0.500 0.000
0.000 0.000 0.000
0.500 0.000 0.000

=====

# 7
HfNi2MoRu (PBEsol, relaxed); calculated formation energy = 37.51 kcal/mol of atoms
1.0
4.389 0.000 0.000
0.000 4.389 0.000
0.000 0.000 4.607
Ru Mo Hf Ni
1 1 1 2
direct
0.000 0.000 0.500
0.500 0.500 0.500
0.000 0.000 0.000
0.000 0.500 0.000
0.500 0.000 0.000

=====

# 8
Mg2TaPt (PBEsol, relaxed); calculated formation energy = -2.67 kcal/mol of atoms
1.0
2.821 0.000 0.023
0.000 4.597 0.000
-1.023 0.000 5.218
Mg Pt Ta
2 1 1
direct
0.681 0.000 0.759
0.319 0.000 0.241
0.500 0.500 0.000
0.000 0.500 0.500

=====

Q: Which formula does entry 4 have?
A: Cr2TeCl